The following is a DFT calculation (PBE) of EuDy2S after structural relaxation.

Computed properties:
Crystal system   trigonal
Uncorrected formation energy   -790.5 meV per atom

Cell lengths 3.7423, 3.7423, 30.3575 Å; angles 90.00, 90.00, 120.00 degrees
Space group R-3m (No. 166, hexagonal axes)
One atom of each set of equivalent atoms:
Eu 0.0000 0.0000 0.0000 (multiplicity 3)
Dy 0.0000 0.0000 0.1140 (multiplicity 6)
S 0.0000 0.0000 0.5000 (multiplicity 3)

The following is a DFT calculation (PBE) of SmTm4Se5 after structural relaxation.

Computed properties:
Crystal system   orthorhombic
Uncorrected formation energy   -1682.9 meV per atom

Cell lengths 4.042, 5.715, 20.313 Å; angles 90.00, 90.00, 90.00 degrees
Space group Immm (No. 71)
One atom of each set of equivalent atoms:
Sm 0.000 0.000 0.000 (multiplicity 2)
Tm 0.000 0.000 0.203 (multiplicity 4)
Tm 0.000 0.000 0.401 (multiplicity 4)
Se 0.000 0.500 0.000 (multiplicity 2)
Se 0.000 0.500 0.198 (multiplicity 4)
Se 0.000 0.500 0.395 (multiplicity 4)

The following is a DFT calculation (PBE) of YBe2Zn after structural relaxation.

Computed properties:
Formation energy from the elements   0.0559 eV/atom
Crystal system   orthorhombic

Cell lengths 3.822, 3.398, 9.908 Å; angles 90.00, 90.00, 90.00 degrees
Space group Amm2 (No. 38)
One atom of each set of equivalent atoms:
Y 0.000 0.000 0.000 (multiplicity 2)
Be 0.000 0.000 0.282 (multiplicity 2)
Be 0.500 0.000 0.374 (multiplicity 2)
Zn 0.500 0.000 0.710 (multiplicity 2)

The following is a DFT calculation (PBE) of LiEr3Pt3 after structural relaxation.

Computed properties:
Formation energy from the elements   -0.9474 eV/atom
Crystal system   orthorhombic

Cell lengths 9.528, 9.553, 6.687 Å; angles 90.00, 90.00, 90.00 degrees
Space group Cmmm (No. 65)
One atom of each set of equivalent atoms:
Li 0.000 0.230 0.000 (multiplicity 4)
Er 0.000 0.251 0.500 (multiplicity 4)
Er 0.241 0.000 0.500 (multiplicity 4)
Er 0.242 0.500 0.000 (multiplicity 4)
Pt 0.000 0.000 0.243 (multiplicity 4)
Pt 0.250 0.250 0.246 (multiplicity 8)

The following is a DFT calculation (PBE) of CaMn2Os after structural relaxation.

Computed properties:
Formation energy from the elements   0.6719 eV/atom
Crystal system   cubic
Energy above the most stable polymorph in this dataset   0.3523 eV per atom

Cell lengths 6.123, 6.123, 6.123 Å; angles 90.00, 90.00, 90.00 degrees
Space group Fm-3m (No. 225)
One atom of each set of equivalent atoms:
Ca 0.000 0.000 0.000 (multiplicity 4)
Mn 0.250 0.250 0.250 (multiplicity 8)
Os 0.000 0.000 0.500 (multiplicity 4)

The following is a DFT calculation (PBE) of BaY2Tc after structural relaxation.

Computed properties:
Formation energy from the elements   0.4977 eV/atom
Crystal system   cubic
Energy above the most stable polymorph in this dataset   0.3927 eV per atom

Cell lengths 7.563, 7.563, 7.563 Å; angles 90.00, 90.00, 90.00 degrees
Space group Fm-3m (No. 225)
One atom of each set of equivalent atoms:
Ba 0.000 0.000 0.000 (multiplicity 4)
Y 0.250 0.250 0.250 (multiplicity 8)
Tc 0.000 0.000 0.500 (multiplicity 4)

The following is a DFT calculation (PBE) of KLi2CuTc after structural relaxation.

Computed properties:
Formation energy from the elements   1.1889 eV/atom
Crystal system   tetragonal
Energy above the most stable polymorph in this dataset   0.3118 eV per atom

Cell lengths 4.864, 4.864, 5.697 Å; angles 90.00, 90.00, 90.00 degrees
Space group P4/mmm (No. 123)
One atom of each set of equivalent atoms:
K 0.000 0.000 0.000 (multiplicity 1)
Li 0.000 0.500 0.500 (multiplicity 2)
Cu 0.000 0.000 0.500 (multiplicity 1)
Tc 0.500 0.500 0.000 (multiplicity 1)

The following is a DFT calculation (PBE) of Zn4Ag4Au3 after structural relaxation.

Computed properties:
Formation energy from the elements   -0.0997 eV/atom
Crystal system   triclinic
Energy above the most stable polymorph in this dataset   0.0000 eV per atom

Cell lengths 2.985, 4.445, 14.311 Å; angles 81.08, 84.13, 89.80 degrees
Space group P1 (No. 1)
One atom of each set of equivalent atoms:
Zn 0.000 0.000 0.000 (multiplicity 1)
Zn 0.143 0.639 0.721 (multiplicity 1)
Zn 0.365 0.365 0.268 (multiplicity 1)
Zn 0.725 0.723 0.552 (multiplicity 1)
Ag 0.461 0.459 0.081 (multiplicity 1)
Ag 0.597 0.096 0.808 (multiplicity 1)
Ag 0.781 0.279 0.440 (multiplicity 1)
Ag 0.904 0.904 0.190 (multiplicity 1)
Au 0.049 0.549 0.902 (multiplicity 1)
Au 0.193 0.190 0.619 (multiplicity 1)
Au 0.313 0.812 0.374 (multiplicity 1)